# 1
The following is a DFT calculation (PBE) of crystalline HfSnO2 at its relaxed geometry.

Unit cell a=7.1366 b=7.1366 c=7.1366 alpha=28.05 beta=28.05 gamma=28.05
Fractional coordinates of all 4 atoms:
O  0.9037  0.9037  0.9037
O  0.0963  0.0963  0.0963
Sn  0.5000  0.5000  0.5000
Hf  0.0000  0.0000  0.0000

Results
E_form (uncorrected)   -1366 meV per atom
Energy   -7.334 eV/atom
Crystal system   trigonal
Mass density   7.7 g/cm³
Space-group type   R-3m
Magnetization   0.00 Bohr magnetons per cell

---

# 2
The following is a DFT calculation (PBE) of crystalline Pm2ErScS4 at its relaxed geometry.

Unit cell a=3.8536 b=6.7069 c=6.9086 alpha=108.76 beta=90.00 gamma=90.00
Fractional coordinates of all 8 atoms:
S  0.0000  0.2513  0.7703
S  0.0000  0.7487  0.2297
S  0.5000  0.7641  0.7744
S  0.5000  0.2359  0.2256
Sc  0.0000  0.0000  0.0000
Er  0.5000  0.5000  0.0000
Pm  0.5000  0.0000  0.5000
Pm  0.0000  0.5000  0.5000

Results
E_form (uncorrected)   -1962 meV per atom
Energy   -6.576 eV/atom
Crystal system   monoclinic
Mass density   6.2 g/cm³
Space-group type   P2/m
Magnetization   0.00 Bohr magnetons per cell

---

# 3
The following is a DFT calculation (PBE) of crystalline CoReCl2 at its relaxed geometry.

Unit cell a=8.0299 b=8.0299 c=8.0299 alpha=21.72 beta=21.72 gamma=21.72
Site moments in Bohr magnetons follow the coordinates.
Fractional coordinates of all 4 atoms:
Co  0.5000  0.5000  0.5000  1.79
Cl  0.0984  0.0984  0.0984  0.09
Cl  0.9016  0.9016  0.9016  0.09
Re  0.0000  0.0000  0.0000  -0.27

Results
E_form (uncorrected)   458 meV per atom
Energy   -5.354 eV/atom
Crystal system   trigonal
Mass density   8.4 g/cm³
Space-group type   R-3m
Relative energy among the computed polymorphs   35.2 kJ/mol of atoms
Magnetization   1.65 Bohr magnetons per cell

---

# 4
The following is a DFT calculation (PBE) of crystalline La2MgO at its relaxed geometry.

Unit cell a=7.4062 b=7.4062 c=6.7860 alpha=56.93 beta=56.93 gamma=90.00
Fractional coordinates of all 8 atoms:
La  0.2422  0.6250  0.2500
La  0.8750  0.7578  0.7500
La  0.5078  0.1250  0.2500
La  0.3750  0.4922  0.7500
Mg  0.7500  0.2500  0.5000
Mg  0.0000  0.0000  0.0000
O  0.5000  0.5000  0.0000
O  0.2500  0.7500  0.5000

Results
E_form (uncorrected)   -1296 meV per atom
Energy   -5.398 eV/atom
Crystal system   tetragonal
Mass density   4.5 g/cm³
Space-group type   I-42d
Relative energy among the computed polymorphs   0.3 kJ/mol of atoms
Magnetization   0.00 Bohr magnetons per cell

---

# 5
The following is a DFT calculation (PBE) of crystalline HfNb2Al at its relaxed geometry.

Unit cell a=7.5915 b=7.5915 c=6.0276 alpha=50.97 beta=50.97 gamma=90.00
Fractional coordinates of all 8 atoms:
Nb  0.3750  0.4021  0.7500
Nb  0.8750  0.8479  0.7500
Nb  0.1521  0.6250  0.2500
Nb  0.5979  0.1250  0.2500
Hf  0.0000  0.0000  0.0000
Hf  0.7500  0.2500  0.5000
Al  0.2500  0.7500  0.5000
Al  0.5000  0.5000  0.0000

Results
Energy   -8.070 eV/atom
Crystal system   tetragonal
Calculated formation energy   0.388 eV/atom
Mass density   8.2 g/cm³
Space-group type   I-42d
Magnetization   0.00 Bohr magnetons per cell

---

# 6
The following is a DFT calculation (PBE) of crystalline Pr12SmHo3 at its relaxed geometry.

Unit cell a=5.1966 b=5.1966 c=20.7248 alpha=90.00 beta=90.00 gamma=90.00
Fractional coordinates of all 16 atoms:
Pr  0.5000  0.5000  0.0000
Pr  0.5000  0.0000  0.6246
Pr  0.0000  0.5000  0.8738
Pr  0.5000  0.0000  0.3754
Pr  0.5000  0.0000  0.8738
Pr  0.5000  0.5000  0.2511
Pr  0.5000  0.0000  0.1262
Pr  0.0000  0.5000  0.3754
Pr  0.5000  0.5000  0.5000
Pr  0.5000  0.5000  0.7489
Pr  0.0000  0.5000  0.1262
Pr  0.0000  0.5000  0.6246
Ho  0.0000  0.0000  0.7490
Ho  0.0000  0.0000  0.5000
Ho  0.0000  0.0000  0.2510
Sm  0.0000  0.0000  0.0000

Results
Energy   -4.725 eV/atom
Crystal system   tetragonal
Calculated formation energy   0.013 eV/atom
Mass density   6.9 g/cm³
Space-group type   P4/mmm
Magnetization   0.00 Bohr magnetons per cell

---

# 7
The following is a DFT calculation (PBE) of crystalline PuPaAs2 at its relaxed geometry.

Unit cell a=3.9882 b=3.9882 c=7.6003 alpha=74.79 beta=74.79 gamma=60.00
Site moments in Bohr magnetons follow the coordinates.
Fractional coordinates of all 4 atoms:
As  0.0828  0.0828  0.7516  -0.05
As  0.2497  0.2497  0.2510  -0.05
Pu  0.6698  0.6698  0.9907  5.20
Pa  0.4978  0.4978  0.5067  -0.18

Results
Energy   -9.183 eV/atom
Crystal system   trigonal
Calculated formation energy   -0.901 eV/atom
Mass density   10.4 g/cm³
Space-group type   R3m
Relative energy among the computed polymorphs   14.9 kJ/mol of atoms
Magnetization   5.04 Bohr magnetons per cell

---

# 8
The following is a DFT calculation (PBE) of crystalline Pm2HfMg at its relaxed geometry.

Unit cell a=3.2467 b=3.2467 c=12.4117 alpha=82.48 beta=82.48 gamma=60.00
Fractional coordinates of all 4 atoms:
Pm  0.9141  0.9141  0.2578
Pm  0.0859  0.0859  0.7422
Hf  0.0000  0.0000  0.0000
Mg  0.5000  0.5000  0.5000

Results
Energy   -4.888 eV/atom
Crystal system   trigonal
Calculated formation energy   0.375 eV/atom
Mass density   7.3 g/cm³
Space-group type   R-3m
Relative energy among the computed polymorphs   31.1 kJ/mol of atoms
Magnetization   0.00 Bohr magnetons per cell

---

Question: What is the formula in the third record?
Answer: CoReCl2